The following is a PBE calculation of Ba2LiCl after structural relaxation, from Alexandria via LeMat-Bulk.

Properties
As for the formation energy (no corrections): -0.69 eV per atom. The calculation puts the mass density at 2.79 g/cm³. The energy above the most stable polymorph in this dataset is 151 meV/atom.

CIF file:
```
data_Ba2LiCl
_cell_length_a 4.543
_cell_length_b 7.518
_cell_length_c 11.033
_cell_angle_alpha 90.00
_cell_angle_beta 90.00
_cell_angle_gamma 90.00
_space_group_name_H-M_alt 'I m m m'
_space_group_IT_number 71
_space_group_name_Hall '-I 2 2'
loop_
_atom_site_label
_atom_site_fract_x
_atom_site_fract_y
_atom_site_fract_z
Ba1 0.000 0.000 0.203
Li1 0.000 0.500 0.000
Cl1 0.000 0.500 0.500
```



The following is a PBE calculation of TlPd2I after structural relaxation, from Alexandria via LeMat-Bulk.

Properties
As for the formation energy (no corrections): 0.08 eV per atom. The calculation puts the mass density at 10.57 g/cm³. The energy above the most stable polymorph in this dataset is 32 meV/atom.

CIF file:
```
data_TlPd2I
_cell_length_a 6.993
_cell_length_b 6.993
_cell_length_c 6.993
_cell_angle_alpha 90.00
_cell_angle_beta 90.00
_cell_angle_gamma 90.00
_space_group_name_H-M_alt 'F m -3 m'
_space_group_IT_number 225
_space_group_name_Hall '-F 4 2 3'
loop_
_atom_site_label
_atom_site_fract_x
_atom_site_fract_y
_atom_site_fract_z
Tl1 0.000 0.000 0.000
Pd1 0.250 0.250 0.250
I1 0.000 0.000 0.500
```



The following is a PBE calculation of TbPrDy6Ho2 after structural relaxation, from Alexandria via LeMat-Bulk.

Properties
The calculation puts the mass density at 8.23 g/cm³.

CIF file:
```
data_TbPrDy6Ho2
_cell_length_a 9.107
_cell_length_b 15.030
_cell_length_c 9.522
_cell_angle_alpha 90.00
_cell_angle_beta 96.77
_cell_angle_gamma 90.00
_space_group_name_H-M_alt 'C 1 2/c 1'
_space_group_IT_number 15
_space_group_name_Hall '-C 2yc'
loop_
_atom_site_label
_atom_site_fract_x
_atom_site_fract_y
_atom_site_fract_z
Tb1 0.000 0.090 0.250
Pr1 0.000 0.473 0.750
Dy1 0.064 0.315 0.443
Dy2 0.099 0.109 0.618
Dy3 0.209 0.273 0.818
Ho1 0.249 0.052 0.953
```



The following is a PBE calculation of CsBe3Fe after structural relaxation, from Alexandria via LeMat-Bulk.

Properties
The calculation puts the mass density at 3.74 g/cm³. The energy above the most stable polymorph in this dataset is 0 meV/atom.

CIF file:
```
data_CsBe3Fe
_cell_length_a 4.577
_cell_length_b 4.577
_cell_length_c 4.577
_cell_angle_alpha 90.00
_cell_angle_beta 90.00
_cell_angle_gamma 90.00
_space_group_name_H-M_alt 'P m -3 m'
_space_group_IT_number 221
_space_group_name_Hall '-P 4 2 3'
loop_
_atom_site_label
_atom_site_fract_x
_atom_site_fract_y
_atom_site_fract_z
Cs1 0.000 0.000 0.000
Be1 0.000 0.500 0.500
Fe1 0.500 0.500 0.500
```



The following is a PBE calculation of CePr2Pb after structural relaxation, from Alexandria via LeMat-Bulk.

Properties
The calculation puts the mass density at 8.09 g/cm³. The energy above the most stable polymorph in this dataset is 349 meV/atom.

CIF file:
```
data_CePr2Pb
_cell_length_a 3.4812
_cell_length_b 3.4812
_cell_length_c 36.9185
_cell_angle_alpha 90.00
_cell_angle_beta 90.00
_cell_angle_gamma 120.00
_space_group_name_H-M_alt 'R -3 m'
_space_group_IT_number 166
_space_group_name_Hall '-R 3 2"'
loop_
_atom_site_label
_atom_site_fract_x
_atom_site_fract_y
_atom_site_fract_z
Ce1 0.0000 0.0000 0.0000
Pr1 0.0000 0.0000 0.0904
Pb1 0.0000 0.0000 0.5000
```



The following is a PBE calculation of ZrZnI2 after structural relaxation, from Alexandria via LeMat-Bulk.

Properties
As for the formation energy (no corrections): 0.05 eV per atom. The calculation puts the mass density at 6.57 g/cm³. The energy above the most stable polymorph in this dataset is 188 meV/atom.

CIF file:
```
data_ZrZnI2
_cell_length_a 7.461
_cell_length_b 7.461
_cell_length_c 7.461
_cell_angle_alpha 90.00
_cell_angle_beta 90.00
_cell_angle_gamma 90.00
_space_group_name_H-M_alt 'F m -3 m'
_space_group_IT_number 225
_space_group_name_Hall '-F 4 2 3'
loop_
_atom_site_label
_atom_site_fract_x
_atom_site_fract_y
_atom_site_fract_z
Zr1 0.000 0.000 0.000
Zn1 0.000 0.000 0.500
I1 0.250 0.250 0.250
```



The following is a PBE calculation of Cd2Bi2F after structural relaxation, from Alexandria via LeMat-Bulk.

Properties
As for the formation energy (no corrections): -0.41 eV per atom. The calculation puts the mass density at 8.44 g/cm³.

CIF file:
```
data_Cd2Bi2F
_cell_length_a 7.113
_cell_length_b 7.113
_cell_length_c 5.147
_cell_angle_alpha 90.00
_cell_angle_beta 90.00
_cell_angle_gamma 90.00
_space_group_name_H-M_alt 'P 4/m b m'
_space_group_IT_number 127
_space_group_name_Hall '-P 4 2ab'
loop_
_atom_site_label
_atom_site_fract_x
_atom_site_fract_y
_atom_site_fract_z
Cd1 0.152 0.348 0.000
Bi1 0.177 0.677 0.500
F1 0.000 0.000 0.500
```



The following is a PBE calculation of SrCdGa2Ni after structural relaxation, from Alexandria via LeMat-Bulk.

Properties
The calculation puts the mass density at 5.95 g/cm³.

CIF file:
```
data_SrCdGa2Ni
_cell_length_a 4.699
_cell_length_b 4.699
_cell_length_c 5.030
_cell_angle_alpha 90.00
_cell_angle_beta 90.00
_cell_angle_gamma 90.00
_space_group_name_H-M_alt 'P 4/m m m'
_space_group_IT_number 123
_space_group_name_Hall '-P 4 2'
loop_
_atom_site_label
_atom_site_fract_x
_atom_site_fract_y
_atom_site_fract_z
Sr1 0.000 0.000 0.000
Cd1 0.500 0.500 0.000
Ga1 0.000 0.500 0.500
Ni1 0.500 0.500 0.500
```



The following is a PBE calculation of Tb7Er16Sc6 after structural relaxation, from Alexandria via LeMat-Bulk.

Properties
The calculation puts the mass density at 7.69 g/cm³.

CIF file:
```
data_Tb7Er16Sc6
_cell_length_a 15.192
_cell_length_b 15.192
_cell_length_c 15.192
_cell_angle_alpha 90.00
_cell_angle_beta 90.00
_cell_angle_gamma 90.00
_space_group_name_H-M_alt 'F m -3 m'
_space_group_IT_number 225
_space_group_name_Hall '-F 4 2 3'
loop_
_atom_site_label
_atom_site_fract_x
_atom_site_fract_y
_atom_site_fract_z
Tb1 0.000 0.000 0.000
Tb2 0.000 0.250 0.250
Er1 0.112 0.112 0.388
Er2 0.147 0.147 0.147
Sc1 0.000 0.000 0.224
```



The following is a PBE calculation of Fe3AsPb after structural relaxation, from Alexandria via LeMat-Bulk.

Properties
The calculation puts the mass density at 9.12 g/cm³. The energy above the most stable polymorph in this dataset is 0 meV/atom.

CIF file:
```
data_Fe3AsPb
_cell_length_a 4.342
_cell_length_b 4.342
_cell_length_c 4.342
_cell_angle_alpha 90.00
_cell_angle_beta 90.00
_cell_angle_gamma 90.00
_space_group_name_H-M_alt 'P m -3 m'
_space_group_IT_number 221
_space_group_name_Hall '-P 4 2 3'
loop_
_atom_site_label
_atom_site_fract_x
_atom_site_fract_y
_atom_site_fract_z
Fe1 0.000 0.000 0.500
As1 0.000 0.000 0.000
Pb1 0.500 0.500 0.500
```



The following is a PBE calculation of LiVAgW2 after structural relaxation, from Alexandria via LeMat-Bulk.

Properties
The calculation puts the mass density at 7.96 g/cm³.

CIF file:
```
data_LiVAgW2
_cell_length_a 4.866
_cell_length_b 4.866
_cell_length_c 4.700
_cell_angle_alpha 90.00
_cell_angle_beta 90.00
_cell_angle_gamma 90.00
_space_group_name_H-M_alt 'P 4/m m m'
_space_group_IT_number 123
_space_group_name_Hall '-P 4 2'
loop_
_atom_site_label
_atom_site_fract_x
_atom_site_fract_y
_atom_site_fract_z
Li1 0.000 0.000 0.000
V1 0.500 0.500 0.000
Ag1 0.500 0.500 0.500
W1 0.000 0.500 0.500
```



The following is a PBE calculation of PmPr3Cl after structural relaxation, from Alexandria via LeMat-Bulk.

Properties
As for the formation energy (no corrections): -0.51 eV per atom. The calculation puts the mass density at 5.90 g/cm³.

CIF file:
```
data_PmPr3Cl
_cell_length_a 5.538
_cell_length_b 5.538
_cell_length_c 5.538
_cell_angle_alpha 90.00
_cell_angle_beta 90.00
_cell_angle_gamma 90.00
_space_group_name_H-M_alt 'P m -3 m'
_space_group_IT_number 221
_space_group_name_Hall '-P 4 2 3'
loop_
_atom_site_label
_atom_site_fract_x
_atom_site_fract_y
_atom_site_fract_z
Pm1 0.000 0.000 0.000
Pr1 0.000 0.500 0.500
Cl1 0.500 0.500 0.500
```



Number 1: V 47.10 A^3/atom, total DFT energy (no corrections) -0.1904 Ry/atom. Number 2: V 21.37 A^3/atom, total DFT energy (no corrections) -0.2566 Ry/atom. Number 3: V 32.36 A^3/atom, total DFT energy (no corrections) -0.3305 Ry/atom. Number 4: V 19.18 A^3/atom, total DFT energy (no corrections) -0.2197 Ry/atom. Number 5: V 32.29 A^3/atom, total DFT energy (no corrections) -0.3484 Ry/atom. Number 6: V 25.95 A^3/atom, total DFT energy (no corrections) -0.2341 Ry/atom. Number 7: V 26.04 A^3/atom, total DFT energy (no corrections) -0.1985 Ry/atom. Number 8: V 22.21 A^3/atom, total DFT energy (no corrections) -0.2328 Ry/atom. Number 9: V 30.23 A^3/atom, total DFT energy (no corrections) -0.3487 Ry/atom. Number 10: V 16.37 A^3/atom, total DFT energy (no corrections) -0.4324 Ry/atom. Number 11: V 22.25 A^3/atom, total DFT energy (no corrections) -0.3986 Ry/atom. Number 12: V 33.96 A^3/atom, total DFT energy (no corrections) -0.3451 Ry/atom.